# 1
A relaxed Na3LiPu3O8 crystal. Source: the Alexandria database, functional GGA-PBE.

a b c (Å): 6.790 6.790 6.781
angles (deg): 120.06 90.00 120.00
Fractional positions:
1 Na 0.000 0.000 0.000
2 Na 0.000 0.500 0.000
3 Na 0.500 0.500 0.000
4 Li 0.000 0.000 0.500
5 Pu 0.500 0.000 0.500
6 Pu 0.500 0.500 0.500
7 Pu 0.000 0.500 0.500
8 O 0.258 0.517 0.275
9 O 0.742 0.483 0.725
10 O 0.762 0.525 0.306
11 O 0.238 0.475 0.694
12 O 0.762 0.043 0.306
13 O 0.238 0.957 0.694
14 O 0.281 0.043 0.306
15 O 0.719 0.957 0.694

Values from the calculation:
Formation energy (no corrections) in kJ/mol of atoms: -234.3



# 2
A relaxed NaLi2ReO4 crystal. Source: the Alexandria database, functional GGA-PBE.

a b c (Å): 5.122 5.122 5.122
angles (deg): 97.52 115.76 115.76
Fractional positions:
1 Na 0.000 0.000 0.000
2 Li 0.500 0.750 0.250
3 Li 0.500 0.250 0.750
4 Re 0.000 0.500 0.500
5 O 0.000 0.178 0.622
6 O 0.556 0.378 0.378
7 O 0.444 0.822 0.822
8 O 0.000 0.622 0.178

Values from the calculation:
Formation energy (no corrections) in kJ/mol of atoms: -158.8



# 3
A relaxed Na2Li3ReO6 crystal. Source: the Alexandria database, functional GGA-PBE.

a b c (Å): 5.652 5.652 5.135
angles (deg): 99.42 99.42 121.95
Fractional positions:
1 Na 0.329 0.671 0.000
2 Na 0.671 0.329 0.000
3 Li 0.138 0.862 0.500
4 Li 0.862 0.138 0.500
5 Li 0.500 0.500 0.500
6 Re 0.000 0.000 0.000
7 O 0.925 0.654 0.762
8 O 0.785 0.785 0.225
9 O 0.075 0.346 0.238
10 O 0.654 0.925 0.762
11 O 0.215 0.215 0.775
12 O 0.346 0.075 0.238

Values from the calculation:
Formation energy (no corrections) in kJ/mol of atoms: -175.3



# 4
A relaxed Na3Li2ReO6 crystal. Source: the Alexandria database, functional GGA-PBE.

a b c (Å): 5.329 5.329 5.601
angles (deg): 99.18 99.18 119.90
Fractional positions:
1 Na 0.177 0.823 0.500
2 Na 0.823 0.177 0.500
3 Na 0.500 0.500 0.500
4 Li 0.333 0.667 0.000
5 Li 0.667 0.333 0.000
6 Re 0.000 0.000 0.000
7 O 0.932 0.635 0.795
8 O 0.774 0.774 0.204
9 O 0.068 0.365 0.205
10 O 0.635 0.932 0.795
11 O 0.226 0.226 0.796
12 O 0.365 0.068 0.205

Values from the calculation:
Formation energy (no corrections) in kJ/mol of atoms: -173.6



# 5
A relaxed NaLiReO4 crystal. Source: the Alexandria database, functional GGA-PBE.

a b c (Å): 5.515 5.515 5.368
angles (deg): 120.91 120.91 90.00
Fractional positions:
1 Na 0.000 0.000 0.000
2 Li 0.500 0.500 0.000
3 Re 0.250 0.750 0.500
4 O 0.191 0.097 0.725
5 O 0.372 0.809 0.275
6 O 0.534 0.628 0.725
7 O 0.903 0.466 0.275

Values from the calculation:
Formation energy (no corrections) in kJ/mol of atoms: -163.5



# 6
A relaxed Na4LiRe3O12 crystal. Source: the Alexandria database, functional GGA-PBE.

a b c (Å): 6.769 6.769 6.769
angles (deg): 109.47 109.47 109.47
Fractional positions:
1 Na 0.500 0.500 0.500
2 Na 0.000 0.000 0.500
3 Na 0.500 0.000 0.000
4 Na 0.000 0.500 0.000
5 Li 0.000 0.000 0.000
6 Re 0.500 0.000 0.500
7 Re 0.500 0.500 0.000
8 Re 0.000 0.500 0.500
9 O 0.250 0.500 0.750
10 O 0.735 0.000 0.735
11 O 0.265 0.000 0.265
12 O 0.750 0.500 0.250
13 O 0.735 0.735 0.000
14 O 0.265 0.265 0.000
15 O 0.750 0.250 0.500
16 O 0.250 0.750 0.500
17 O 0.500 0.250 0.750
18 O 0.000 0.735 0.735
19 O 0.500 0.750 0.250
20 O 0.000 0.265 0.265

Values from the calculation:
Formation energy (no corrections) in kJ/mol of atoms: -159.8



# 7
A relaxed Na2Li3RhO6 crystal. Source: the Alexandria database, functional GGA-PBE.

a b c (Å): 5.596 5.596 5.113
angles (deg): 100.05 100.05 121.24
Fractional positions:
1 Na 0.330 0.670 0.000
2 Na 0.670 0.330 0.000
3 Li 0.147 0.853 0.500
4 Li 0.853 0.147 0.500
5 Li 0.500 0.500 0.500
6 Rh 0.000 0.000 0.000
7 O 0.919 0.640 0.752
8 O 0.786 0.786 0.237
9 O 0.081 0.360 0.248
10 O 0.640 0.919 0.752
11 O 0.214 0.214 0.763
12 O 0.360 0.081 0.248

Values from the calculation:
Formation energy (no corrections) in kJ/mol of atoms: -119.4



# 8
A relaxed Na2Li2RhO4 crystal. Source: the Alexandria database, functional GGA-PBE.

a b c (Å): 3.205 6.211 7.132
angles (deg): 130.16 90.00 104.95
Fractional positions:
1 Na 0.820 0.641 0.434
2 Na 0.180 0.359 0.566
3 Li 0.346 0.693 0.071
4 Li 0.654 0.307 0.929
5 Rh 0.000 0.000 0.000
6 O 0.791 0.582 0.876
7 O 0.209 0.418 0.124
8 O 0.556 0.112 0.236
9 O 0.444 0.888 0.764

Values from the calculation:
Formation energy (no corrections) in kJ/mol of atoms: -133.9